1.
KFeHg2: optimized geometry, PBE.

Properties
* E above lowest polymorph: 163 meV per atom
* spin magnetization: 5.5 Bohr magnetons per cell
* formation energy from the elements: 0.446 eV/atom

Cell lengths 4.4623, 5.8850, 8.3521 Å; angles 90.00, 90.00, 90.00 degrees
With the nearest neighbours (Å) after each atom.
Space group Immm (No. 71)
Unique sites:
1 K 0.0000 0.0000 0.0000 [2 per cell]  8 Hg 3.37-3.38, 4 Fe 3.69
2 Fe 0.0000 0.0000 0.5000 [2 per cell]  4 Hg 2.77
3 Hg 0.0000 0.5000 0.1963 [4 per cell]  2 Fe 2.77

2.
K2FeHg: optimized geometry, PBE.

Properties
* spin magnetization: 2.9 Bohr magnetons per cell
* formation energy from the elements: 0.481 eV/atom

Cell lengths 5.1930, 4.7555, 6.6466 Å; angles 90.00, 112.90, 90.00 degrees
With the nearest neighbours (Å) after each atom.
Space group Pm (No. 6)
Unique sites:
1 K 0.0000 0.0000 0.0000 [1 per cell]  3 Fe 3.47-3.81, 4 Hg 3.72-3.73
2 K 0.2942 0.5000 0.5945 [1 per cell]  3 Hg 3.54-3.70, 4 Fe 3.76
3 Fe 0.6857 0.0000 0.3783 [1 per cell]  2 Hg 2.62
4 Hg 0.6000 0.5000 0.1988 [1 per cell]  2 Fe 2.62

3.
KFeHgP2: optimized geometry, PBE.

Properties
* spin magnetization: 3.4 Bohr magnetons per cell
* formation energy from the elements: 0.965 eV/atom

Cell lengths 5.1410, 5.1410, 5.1012 Å; angles 90.00, 90.00, 90.00 degrees
With the nearest neighbours (Å) after each atom.
Space group P4/mmm (No. 123)
Unique sites:
1 K 0.0000 0.0000 0.0000 [1 per cell]  8 P 3.62, 4 Fe 3.64
2 Fe 0.5000 0.5000 0.0000 [1 per cell]  2 Hg 2.55
3 Hg 0.5000 0.5000 0.5000 [1 per cell]  2 Fe 2.55, 4 P 2.57
4 P 0.0000 0.5000 0.5000 [2 per cell]  2 Hg 2.57

4.
KFeSn2Hg: optimized geometry, PBE.

Properties
* spin magnetization: 1.1 Bohr magnetons per cell
* formation energy from the elements: 0.005 eV/atom

Cell lengths 4.9780, 4.9780, 5.3428 Å; angles 90.00, 90.00, 90.00 degrees
With the nearest neighbours (Å) after each atom.
Space group P4/mmm (No. 123)
Unique sites:
1 K 0.0000 0.0000 0.0000 [1 per cell]  4 Hg 3.52, 8 Sn 3.65
2 Fe 0.5000 0.5000 0.5000 [1 per cell]  4 Sn 2.49, 2 Hg 2.67
3 Sn 0.0000 0.5000 0.5000 [2 per cell]  2 Fe 2.49
4 Hg 0.5000 0.5000 0.0000 [1 per cell]  2 Fe 2.67

5.
La6FeHg2: optimized geometry, PBE.

Properties
* spin magnetization: 0.0 Bohr magnetons per cell
* formation energy from the elements: -0.218 eV/atom

Cell lengths 7.4271, 7.3252, 12.7480 Å; angles 90.00, 125.01, 90.00 degrees
With the nearest neighbours (Å) after each atom.
Space group P2_1/c (No. 14)
Unique sites:
1 La 0.1705 0.0024 0.2501 [4 per cell]  1 Fe 2.67
2 La 0.2688 0.7321 0.0405 [4 per cell]  1 Fe 2.63
3 La 0.3032 0.2356 0.0385 [4 per cell]  1 Fe 2.65
4 Fe 0.0000 0.0000 0.0000 [2 per cell]  6 La 2.63-2.67
5 Hg 0.2682 0.0227 0.7585 [4 per cell]  6 La 3.20-3.54

6.
LaFe3Hg: optimized geometry, PBE.

Properties
* E above lowest polymorph: 0 meV per atom
* spin magnetization: 8.3 Bohr magnetons per cell
* formation energy from the elements: 0.991 eV/atom

Cell lengths 4.9146, 4.9146, 4.9146 Å; angles 90.00, 90.00, 90.00 degrees
With the nearest neighbours (Å) after each atom.
Space group Pm-3m (No. 221)
Unique sites:
1 La 0.0000 0.0000 0.0000 [1 per cell]  12 Fe 3.48
2 Fe 0.0000 0.5000 0.5000 [3 per cell]  2 Hg 2.46
3 Hg 0.5000 0.5000 0.5000 [1 per cell]  6 Fe 2.46

7.
La2FeHg: optimized geometry, PBE.

Properties
* spin magnetization: 0.1 Bohr magnetons per cell
* formation energy from the elements: -0.031 eV/atom

Cell lengths 3.9862, 3.9862, 24.5318 Å; angles 90.00, 90.00, 120.00 degrees
With the nearest neighbours (Å) after each atom.
Space group R-3m (No. 166, hexagonal axes)
Unique sites:
1 La 0.0000 0.0000 0.2293 [6 per cell]  3 Fe 2.77
2 Fe 0.0000 0.0000 0.5000 [3 per cell]  6 La 2.77
3 Hg 0.0000 0.0000 0.0000 [3 per cell]  6 La 3.44

8.
La2FeHg: optimized geometry, PBE.

Properties
* spin magnetization: 2.5 Bohr magnetons per cell
* formation energy from the elements: 0.124 eV/atom

Cell lengths 3.6121, 3.6121, 8.1810 Å; angles 90.00, 90.00, 90.00 degrees
With the nearest neighbours (Å) after each atom.
Space group P4mm (No. 99)
Unique sites:
1 La 0.0000 0.0000 0.0000 [1 per cell]  4 Hg 3.31, 1 Fe 3.40, 4 La 3.61
2 La 0.5000 0.5000 0.3549 [1 per cell]  4 Fe 3.17, 1 Hg 3.18
3 Fe 0.0000 0.0000 0.5839 [1 per cell]  4 Hg 2.87, 4 La 3.17
4 Hg 0.5000 0.5000 0.7433 [1 per cell]  4 Fe 2.87, 1 La 3.18